No. 1
## Sn5Hg12Sb3 (PBE)

Data for Sn5Hg12Sb3 after structural relaxation.

Calculated values
As for the total magnetization: 0.0 μB/f.u. The calculation puts the formation energy (no corrections) at 2.89 eV/f.u. The symmetry is Ia-3d.

```
data_Sn5Hg12Sb3
_space_group_name_H-M_alt 'P 1'
_space_group_IT_number 1
_cell_length_a 14.8534
_cell_length_b 14.8534
_cell_length_c 14.8534
_cell_angle_alpha 109.47
_cell_angle_beta 109.47
_cell_angle_gamma 109.47
loop_
_space_group_symop_operation_xyz
'x,y,z'
loop_
_atom_site_label
_atom_site_type_symbol
_atom_site_fract_x
_atom_site_fract_y
_atom_site_fract_z
Sn1 Sn 0.0000 0.0000 0.0000
Sn2 Sn 0.0000 0.0000 0.5000
Sn3 Sn 0.0000 0.5000 0.0000
Sn4 Sn 0.0000 0.5000 0.5000
Sn5 Sn 0.1250 0.7500 0.8750
Sn6 Sn 0.1250 0.8750 0.2500
Sn7 Sn 0.2500 0.1250 0.8750
Sn8 Sn 0.2500 0.6250 0.3750
Sn9 Sn 0.3750 0.2500 0.6250
Sn10 Sn 0.3750 0.6250 0.7500
Sn11 Sn 0.5000 0.0000 0.0000
Sn12 Sn 0.5000 0.0000 0.5000
Sn13 Sn 0.5000 0.5000 0.0000
Sn14 Sn 0.5000 0.5000 0.5000
Sn15 Sn 0.6250 0.3750 0.2500
Sn16 Sn 0.6250 0.7500 0.3750
Sn17 Sn 0.7500 0.3750 0.6250
Sn18 Sn 0.7500 0.8750 0.1250
Sn19 Sn 0.8750 0.1250 0.7500
Sn20 Sn 0.8750 0.2500 0.1250
Hg1 Hg 0.0583 0.2304 0.1289
Hg2 Hg 0.0583 0.3279 0.9294
Hg3 Hg 0.0706 0.6289 0.3985
Hg4 Hg 0.0706 0.9417 0.6721
Hg5 Hg 0.1015 0.7304 0.6721
Hg6 Hg 0.1015 0.8711 0.4294
Hg7 Hg 0.1289 0.0583 0.2304
Hg8 Hg 0.1289 0.5706 0.8985
Hg9 Hg 0.1721 0.2304 0.6015
Hg10 Hg 0.1721 0.4417 0.5706
Hg11 Hg 0.2304 0.1289 0.0583
Hg12 Hg 0.2304 0.6015 0.1721
Hg13 Hg 0.2696 0.3279 0.8985
Hg14 Hg 0.2696 0.4417 0.3711
Hg15 Hg 0.3279 0.8985 0.2696
Hg16 Hg 0.3279 0.9294 0.0583
Hg17 Hg 0.3711 0.2696 0.4417
Hg18 Hg 0.3711 0.6015 0.9294
Hg19 Hg 0.3985 0.0706 0.6289
Hg20 Hg 0.3985 0.8279 0.7696
Hg21 Hg 0.4294 0.1015 0.8711
Hg22 Hg 0.4294 0.8279 0.5583
Hg23 Hg 0.4417 0.3711 0.2696
Hg24 Hg 0.4417 0.5706 0.1721
Hg25 Hg 0.5583 0.4294 0.8279
Hg26 Hg 0.5583 0.6289 0.7304
Hg27 Hg 0.5706 0.1721 0.4417
Hg28 Hg 0.5706 0.8985 0.1289
Hg29 Hg 0.6015 0.1721 0.2304
Hg30 Hg 0.6015 0.9294 0.3711
Hg31 Hg 0.6289 0.3985 0.0706
Hg32 Hg 0.6289 0.7304 0.5583
Hg33 Hg 0.6721 0.0706 0.9417
Hg34 Hg 0.6721 0.1015 0.7304
Hg35 Hg 0.7304 0.5583 0.6289
Hg36 Hg 0.7304 0.6721 0.1015
Hg37 Hg 0.7696 0.3985 0.8279
Hg38 Hg 0.7696 0.8711 0.9417
Hg39 Hg 0.8279 0.5583 0.4294
Hg40 Hg 0.8279 0.7696 0.3985
Hg41 Hg 0.8711 0.4294 0.1015
Hg42 Hg 0.8711 0.9417 0.7696
Hg43 Hg 0.8985 0.1289 0.5706
Hg44 Hg 0.8985 0.2696 0.3279
Hg45 Hg 0.9294 0.0583 0.3279
Hg46 Hg 0.9294 0.3711 0.6015
Hg47 Hg 0.9417 0.6721 0.0706
Hg48 Hg 0.9417 0.7696 0.8711
Sb1 Sb 0.1250 0.2500 0.3750
Sb2 Sb 0.1250 0.3750 0.7500
Sb3 Sb 0.2500 0.3750 0.1250
Sb4 Sb 0.2500 0.8750 0.6250
Sb5 Sb 0.3750 0.1250 0.2500
Sb6 Sb 0.3750 0.7500 0.1250
Sb7 Sb 0.6250 0.2500 0.8750
Sb8 Sb 0.6250 0.8750 0.7500
Sb9 Sb 0.7500 0.1250 0.3750
Sb10 Sb 0.7500 0.6250 0.8750
Sb11 Sb 0.8750 0.6250 0.2500
Sb12 Sb 0.8750 0.7500 0.6250
```

***

No. 2
## Sn2HgSb (PBE)

Data for Sn2HgSb after structural relaxation.

Calculated values
As for the total magnetization: 0.0 μB/f.u. Its energy above the most stable polymorph in this dataset is 0.0 kJ per mole of atoms. The calculation puts the formation energy (no corrections) at 0.12 eV/f.u. The symmetry is R-3m.

```
data_Sn2HgSb
_space_group_name_H-M_alt 'P 1'
_space_group_IT_number 1
_cell_length_a 7.8242
_cell_length_b 7.8242
_cell_length_c 7.8242
_cell_angle_alpha 31.60
_cell_angle_beta 31.60
_cell_angle_gamma 31.60
loop_
_space_group_symop_operation_xyz
'x,y,z'
loop_
_atom_site_label
_atom_site_type_symbol
_atom_site_fract_x
_atom_site_fract_y
_atom_site_fract_z
Sn1 Sn 0.2484 0.2484 0.2484
Sn2 Sn 0.7516 0.7516 0.7516
Hg1 Hg 0.0000 0.0000 0.0000
Sb1 Sb 0.5000 0.5000 0.5000
```

***

No. 3
## Sn2HgSb2 (PBE)

Data for Sn2HgSb2 after structural relaxation.

Calculated values
As for the total magnetization: 0.0 μB/f.u. Its energy above the most stable polymorph in this dataset is 8.4 kJ per mole of atoms. The calculation puts the formation energy (no corrections) at 0.92 eV/f.u. The symmetry is Cmmm.

```
data_Sn2HgSb2
_space_group_name_H-M_alt 'P 1'
_space_group_IT_number 1
_cell_length_a 5.0566
_cell_length_b 5.0566
_cell_length_c 6.4426
_cell_angle_alpha 90.00
_cell_angle_beta 90.00
_cell_angle_gamma 109.98
loop_
_space_group_symop_operation_xyz
'x,y,z'
loop_
_atom_site_label
_atom_site_type_symbol
_atom_site_fract_x
_atom_site_fract_y
_atom_site_fract_z
Sn1 Sn 0.1887 0.8113 0.0000
Sn2 Sn 0.8113 0.1887 0.0000
Hg1 Hg 0.0000 0.0000 0.5000
Sb1 Sb 0.5000 0.5000 0.2764
Sb2 Sb 0.5000 0.5000 0.7236
```

***

No. 4
## SnHg2Sb2 (PBE)

Data for SnHg2Sb2 after structural relaxation.

Calculated values
As for the total magnetization: 0.0 μB/f.u. Its energy above the most stable polymorph in this dataset is 3.2 kJ per mole of atoms. The calculation puts the formation energy (no corrections) at 0.87 eV/f.u. The symmetry is P4/mbm.

```
data_SnHg2Sb2
_space_group_name_H-M_alt 'P 1'
_space_group_IT_number 1
_cell_length_a 8.8813
_cell_length_b 8.8813
_cell_length_c 3.5065
_cell_angle_alpha 90.00
_cell_angle_beta 90.00
_cell_angle_gamma 90.00
loop_
_space_group_symop_operation_xyz
'x,y,z'
loop_
_atom_site_label
_atom_site_type_symbol
_atom_site_fract_x
_atom_site_fract_y
_atom_site_fract_z
Sn1 Sn 0.0000 0.0000 0.0000
Sn2 Sn 0.5000 0.5000 0.0000
Hg1 Hg 0.1196 0.3804 0.5000
Hg2 Hg 0.3804 0.8804 0.5000
Hg3 Hg 0.6196 0.1196 0.5000
Hg4 Hg 0.8804 0.6196 0.5000
Sb1 Sb 0.1862 0.6862 0.0000
Sb2 Sb 0.3138 0.1862 0.0000
Sb3 Sb 0.6862 0.8138 0.0000
Sb4 Sb 0.8138 0.3138 0.0000
```

***

No. 5
## Sn2HgSb2 (PBE)

Data for Sn2HgSb2 after structural relaxation.

Calculated values
As for the total magnetization: 0.0 μB/f.u. Its energy above the most stable polymorph in this dataset is 0.0 kJ per mole of atoms. The calculation puts the formation energy (no corrections) at 0.48 eV/f.u. The symmetry is P4/mbm.

```
data_Sn2HgSb2
_space_group_name_H-M_alt 'P 1'
_space_group_IT_number 1
_cell_length_a 8.6367
_cell_length_b 8.6367
_cell_length_c 3.8949
_cell_angle_alpha 90.00
_cell_angle_beta 90.00
_cell_angle_gamma 90.00
loop_
_space_group_symop_operation_xyz
'x,y,z'
loop_
_atom_site_label
_atom_site_type_symbol
_atom_site_fract_x
_atom_site_fract_y
_atom_site_fract_z
Sn1 Sn 0.1456 0.3544 0.0000
Sn2 Sn 0.3544 0.8544 0.0000
Sn3 Sn 0.6456 0.1456 0.0000
Sn4 Sn 0.8544 0.6456 0.0000
Hg1 Hg 0.0000 0.0000 0.0000
Hg2 Hg 0.5000 0.5000 0.0000
Sb1 Sb 0.1444 0.6444 0.5000
Sb2 Sb 0.3556 0.1444 0.5000
Sb3 Sb 0.6444 0.8556 0.5000
Sb4 Sb 0.8556 0.3556 0.5000
```

***

No. 6
## Sn2HgSb (PBE)

Data for Sn2HgSb after structural relaxation.

Calculated values
As for the total magnetization: 0.0 μB/f.u. Its energy above the most stable polymorph in this dataset is 6.4 kJ per mole of atoms. The calculation puts the formation energy (no corrections) at 0.39 eV/f.u. The symmetry is P4/mmm.

```
data_Sn2HgSb
_space_group_name_H-M_alt 'P 1'
_space_group_IT_number 1
_cell_length_a 5.0578
_cell_length_b 5.0578
_cell_length_c 4.2584
_cell_angle_alpha 90.00
_cell_angle_beta 90.00
_cell_angle_gamma 90.00
loop_
_space_group_symop_operation_xyz
'x,y,z'
loop_
_atom_site_label
_atom_site_type_symbol
_atom_site_fract_x
_atom_site_fract_y
_atom_site_fract_z
Sn1 Sn 0.0000 0.5000 0.0000
Sn2 Sn 0.5000 0.0000 0.0000
Hg1 Hg 0.0000 0.0000 0.5000
Sb1 Sb 0.5000 0.5000 0.5000
```